Here is a relaxed Tc3P crystal from Alexandria. Energies are from PBE.

Geometry as extended XYZ:
```
4
Lattice="3.011 3.212 1.651 -4.062 1.583 -1.764 -1.207 -0.203 2.597" Properties=species:S:1:pos:R:3 pbc="T T T"
Tc -2.634 0.690 0.417
Tc 0.902 1.505 2.124
Tc -0.525 2.398 -0.056
P 0.000 0.000 0.000
```

## Properties
Space group: No. 65
DFT formation energy: 0.097 eV per atom
Polymorph energy (0 for the lowest one): 0.437 eV per atom


Here is a relaxed Y2ReSe crystal from Alexandria. Energies are from PBE.

Geometry as extended XYZ:
```
4
Lattice="4.900 0.000 0.000 2.450 4.243 0.000 2.450 1.414 4.001" Properties=species:S:1:pos:R:3 pbc="T T T"
Re 4.900 2.829 2.000
Se 2.450 1.414 1.000
Y 0.000 0.000 0.000
Y 7.350 4.243 3.001
```

## Properties
E_form (uncorrected): 0.20 eV per atom
Space group: No. 216


Here is a relaxed Sr2TlCl crystal from Alexandria. Energies are from PBE.

Geometry as extended XYZ:
```
4
Lattice="-2.742 -2.419 -4.615 1.619 -5.323 -1.929 -3.561 -4.624 0.783" Properties=species:S:1:pos:R:3 pbc="T T T"
Cl -2.342 -6.183 -2.880
Sr 0.000 0.000 0.000
Sr -1.171 -3.092 -1.440
Tl -3.513 -9.275 -4.321
```

## Properties
E_form (uncorrected): -0.30 eV per atom
Space group: No. 216
Polymorph energy (0 for the lowest one): 0.783 eV per atom


The records above give, respectively, total magnetization values of 0.00 0.00 1.10 μB per formula unit.
The records above give, respectively, Fermi-level density of states values of 3.7 4.5 5.1 states/eV/f.u..